Record 1
! CsKTl2Re, relaxed, DFT PBE; values from VASP
&SYSTEM
  ibrav = 0, nat = 5, ntyp = 4
/
ATOMIC_SPECIES
Cs 132.91 Cs.upf
K 39.10 K.upf
Tl 204.38 Tl.upf
Re 186.21 Re.upf
ATOMIC_POSITIONS crystal
Cs 0.000 0.000 0.000
K 0.500 0.500 0.500
Tl 0.000 0.500 0.000
Tl 0.500 0.000 0.000
Re 0.000 0.000 0.500
CELL_PARAMETERS angstrom
6.471 0.000 0.000
0.000 6.471 0.000
0.000 0.000 5.494
! energy relative to the elements	1.67	eV/atom
! density of states at the Fermi level	0.78	states/eV/atom
! total DFT energy (no corrections)	-2.16	eV/atom

Record 2
! CsKRh2, relaxed, DFT PBE; values from VASP
&SYSTEM
  ibrav = 0, nat = 4, ntyp = 3
/
ATOMIC_SPECIES
Cs 132.91 Cs.upf
K 39.10 K.upf
Rh 102.91 Rh.upf
ATOMIC_POSITIONS crystal
Cs 0.000 0.000 0.000
K 0.500 0.500 0.500
Rh 0.250 0.250 0.250
Rh 0.750 0.750 0.750
CELL_PARAMETERS angstrom
0.000 3.690 3.690
3.690 0.000 3.690
3.690 3.690 0.000
! energy relative to the elements	1.21	eV/atom
! density of states at the Fermi level	1.19	states/eV/atom
! total DFT energy (no corrections)	-2.95	eV/atom

Record 3
! CsK2Rh, relaxed, DFT PBE; values from VASP
&SYSTEM
  ibrav = 0, nat = 8, ntyp = 3
/
ATOMIC_SPECIES
Cs 132.91 Cs.upf
K 39.10 K.upf
Rh 102.91 Rh.upf
ATOMIC_POSITIONS crystal
Cs 0.375 0.625 0.750
Cs 0.625 0.375 0.250
K 0.000 0.000 0.000
K 0.000 0.000 0.500
K 0.000 0.500 0.000
K 0.500 0.000 0.500
Rh 0.125 0.875 0.250
Rh 0.875 0.125 0.750
CELL_PARAMETERS angstrom
-4.329 4.329 6.776
4.329 -4.329 6.776
4.329 4.329 -6.776
! energy relative to the elements	0.68	eV/atom
! density of states at the Fermi level	0.53	states/eV/atom
! total DFT energy (no corrections)	-1.92	eV/atom

Record 4
! CsK3Rh, relaxed, DFT PBE; values from VASP
&SYSTEM
  ibrav = 0, nat = 5, ntyp = 3
/
ATOMIC_SPECIES
Cs 132.91 Cs.upf
K 39.10 K.upf
Rh 102.91 Rh.upf
ATOMIC_POSITIONS crystal
Cs 0.000 0.000 0.000
K 0.000 0.000 0.500
K 0.000 0.500 0.000
K 0.500 0.000 0.000
Rh 0.500 0.500 0.500
CELL_PARAMETERS angstrom
7.130 0.000 0.000
0.000 7.130 0.000
0.000 0.000 7.130
! energy relative to the elements	1.28	eV/atom
! energy relative to the lowest polymorph listed for this composition	854	meV/atom
! density of states at the Fermi level	3.27	states/eV/atom
! total DFT energy (no corrections)	-1.02	eV/atom

Record 5
! CsK3Rh, relaxed, DFT PBE; values from VASP
&SYSTEM
  ibrav = 0, nat = 5, ntyp = 3
/
ATOMIC_SPECIES
Cs 132.91 Cs.upf
K 39.10 K.upf
Rh 102.91 Rh.upf
ATOMIC_POSITIONS crystal
Cs 0.000 0.000 0.000
K 0.000 0.500 0.500
K 0.500 0.000 0.500
K 0.500 0.500 0.000
Rh 0.500 0.500 0.500
CELL_PARAMETERS angstrom
6.407 0.000 0.000
0.000 6.407 0.000
0.000 0.000 6.407
! energy relative to the elements	0.43	eV/atom
! energy relative to the lowest polymorph listed for this composition	0	meV/atom
! density of states at the Fermi level	1.17	states/eV/atom
! total DFT energy (no corrections)	-1.87	eV/atom

Record 6
! CsKRh3, relaxed, DFT PBE; values from VASP
&SYSTEM
  ibrav = 0, nat = 5, ntyp = 3
/
ATOMIC_SPECIES
Cs 132.91 Cs.upf
K 39.10 K.upf
Rh 102.91 Rh.upf
ATOMIC_POSITIONS crystal
Cs 0.000 0.000 0.000
K 0.500 0.500 0.500
Rh 0.000 0.000 0.500
Rh 0.000 0.500 0.000
Rh 0.500 0.000 0.000
CELL_PARAMETERS angstrom
5.087 0.000 0.000
0.000 5.087 0.000
0.000 0.000 5.087
! energy relative to the elements	1.69	eV/atom
! density of states at the Fermi level	0.88	states/eV/atom
! total DFT energy (no corrections)	-3.11	eV/atom

Record 7
! CsK2SnRh, relaxed, DFT PBE; values from VASP
&SYSTEM
  ibrav = 0, nat = 5, ntyp = 4
/
ATOMIC_SPECIES
Cs 132.91 Cs.upf
K 39.10 K.upf
Sn 118.71 Sn.upf
Rh 102.91 Rh.upf
ATOMIC_POSITIONS crystal
Cs 0.000 0.000 0.000
K 0.000 0.500 0.500
K 0.500 0.000 0.500
Sn 0.500 0.500 0.000
Rh 0.500 0.500 0.500
CELL_PARAMETERS angstrom
6.314 0.000 0.000
0.000 6.314 0.000
0.000 0.000 5.159
! energy relative to the elements	0.05	eV/atom
! density of states at the Fermi level	0.90	states/eV/atom
! total DFT energy (no corrections)	-2.83	eV/atom

Record 8
! CsKSr2Rh, relaxed, DFT PBE; values from VASP
&SYSTEM
  ibrav = 0, nat = 5, ntyp = 4
/
ATOMIC_SPECIES
Cs 132.91 Cs.upf
K 39.10 K.upf
Sr 87.62 Sr.upf
Rh 102.91 Rh.upf
ATOMIC_POSITIONS crystal
Cs 0.000 0.000 0.000
K 0.500 0.500 0.000
Sr 0.000 0.500 0.500
Sr 0.500 0.000 0.500
Rh 0.000 0.000 0.500
CELL_PARAMETERS angstrom
5.949 0.000 0.000
0.000 5.949 0.000
0.000 0.000 7.068
! energy relative to the elements	0.10	eV/atom
! energy relative to the lowest polymorph listed for this composition	12	meV/atom
! density of states at the Fermi level	0.82	states/eV/atom
! total DFT energy (no corrections)	-2.44	eV/atom

> Which of these has the highest total DFT energy (no corrections)?

number 4

> Which value of total DFT energy (no corrections) does entry 8 give?

-2.44 eV/atom

> Among the records above, which one has the lowest density of states at the Fermi level?

CsK2Rh

> Among the records above, which one has the lowest density of states at the Fermi level?

CsK2Rh